No. 1
Ca2NiAs: relaxed, GGA-PBE.

Formation enthalpy at 0 K (meV/atom): -142
DOS at the Fermi energy (states/eV/atom): 0.875
Calculated total energy (eV/cell): -60.0

The structure in CIF format:
```
data_Ca2NiAs
_cell_length_a 6.907
_cell_length_b 6.907
_cell_length_c 6.907
_cell_angle_alpha 90.00
_cell_angle_beta 90.00
_cell_angle_gamma 90.00
_symmetry_space_group_name_H-M 'F -4 3 m'
_symmetry_Int_Tables_number 216
_symmetry_space_group_name_Hall 'F -4 2 3'
loop_
_atom_site_label
_atom_site_fract_x
_atom_site_fract_y
_atom_site_fract_z
_atom_site_occupancy
Ca1 0.000 0.000 0.000 1
Ca2 0.250 0.250 0.250 1
Ni1 0.250 0.250 0.750 1
As1 0.000 0.000 0.500 1
```

No. 2
Ca2Ni3As4: relaxed, GGA-PBE.

Formation enthalpy at 0 K (meV/atom): -591
DOS at the Fermi energy (states/eV/atom): 0.489
Calculated total energy (eV/cell): -181.1

The structure in CIF format:
```
data_Ca2Ni3As4
_cell_length_a 5.445
_cell_length_b 9.683
_cell_length_c 12.818
_cell_angle_alpha 90.00
_cell_angle_beta 90.00
_cell_angle_gamma 90.00
_symmetry_space_group_name_H-M 'F m m m'
_symmetry_Int_Tables_number 69
_symmetry_space_group_name_Hall '-F 2 2'
loop_
_atom_site_label
_atom_site_fract_x
_atom_site_fract_y
_atom_site_fract_z
_atom_site_occupancy
Ca1 0.000 0.000 0.142 1
Ni1 0.000 0.000 0.500 1
Ni2 0.250 0.250 0.000 1
As1 0.000 0.161 0.363 1
```

No. 3
Ca3Ni4As4: relaxed, GGA-PBE.

Formation enthalpy at 0 K (meV/atom): -759
DOS at the Fermi energy (states/eV/atom): 0.636
Calculated total energy (eV/cell): -112.2

The structure in CIF format:
```
data_Ca3Ni4As4
_cell_length_a 24.240
_cell_length_b 4.077
_cell_length_c 4.093
_cell_angle_alpha 90.00
_cell_angle_beta 99.66
_cell_angle_gamma 90.00
_symmetry_space_group_name_H-M 'C 1 2/m 1'
_symmetry_Int_Tables_number 12
_symmetry_space_group_name_Hall '-C 2y'
loop_
_atom_site_label
_atom_site_fract_x
_atom_site_fract_y
_atom_site_fract_z
_atom_site_occupancy
Ca1 0.000 0.000 0.000 1
Ca2 0.149 0.500 0.150 1
Ni1 0.098 0.000 0.599 1
Ni2 0.250 0.000 0.249 1
As1 0.055 0.500 0.557 1
As2 0.196 0.000 0.696 1
```

No. 4
Ca2Ni2As: relaxed, GGA-PBE.

Formation enthalpy at 0 K (meV/atom): -340
DOS at the Fermi energy (states/eV/atom): 0.965
Calculated total energy (eV/cell): -43.8

The structure in CIF format:
```
data_Ca2Ni2As
_cell_length_a 6.651
_cell_length_b 6.651
_cell_length_c 4.299
_cell_angle_alpha 90.00
_cell_angle_beta 90.00
_cell_angle_gamma 90.00
_symmetry_space_group_name_H-M 'P 4/m b m'
_symmetry_Int_Tables_number 127
_symmetry_space_group_name_Hall '-P 4 2ab'
loop_
_atom_site_label
_atom_site_fract_x
_atom_site_fract_y
_atom_site_fract_z
_atom_site_occupancy
Ca1 0.181 0.319 0.000 1
Ni1 0.127 0.627 0.500 1
As1 0.000 0.000 0.500 1
```